[1]
80
Lattice="-6.127 6.127 6.127 6.127 -6.127 6.127 6.127 6.127 -6.127" Properties=species:S:1:pos:R:3 comment="Li3Y3Te2O12 (PBEsol, optimized geometry)" dos_ef_per_ev_cell=0.00 e_tot_ev_per_cell=-577.9 sg="No. 230" pbc="T T T"
Li 9.191 1.532 0.000
Li 6.127 -3.064 4.596
Li 4.596 6.127 -3.064
Li 4.596 0.000 3.064
Li 3.064 4.596 0.000
Li 6.127 3.064 1.532
Li 0.000 3.064 4.596
Li 3.064 1.532 6.127
Li 1.532 6.127 3.064
Li 1.532 0.000 9.191
Li 0.000 9.191 1.532
Li -3.064 4.596 6.127
Y 3.064 1.532 0.000
Y 6.127 3.064 -1.532
Y 1.532 0.000 3.064
Y 7.659 0.000 3.064
Y 0.000 3.064 1.532
Y 3.064 -1.532 6.127
Y 3.064 7.659 0.000
Y 6.127 3.064 4.596
Y -1.532 6.127 3.064
Y 4.596 6.127 3.064
Y 0.000 3.064 7.659
Y 3.064 4.596 6.127
Te 0.000 0.000 0.000
Te 3.064 3.064 -3.064
Te 3.064 -3.064 3.064
Te 6.127 0.000 0.000
Te -3.064 3.064 3.064
Te 0.000 6.127 0.000
Te 0.000 0.000 6.127
Te 3.064 3.064 3.064
O 1.798 -0.319 0.660
O 7.393 3.724 -3.383
O 7.925 0.319 0.660
O 7.393 -2.404 3.383
O 5.808 -0.660 1.798
O 9.510 -1.266 2.404
O 0.660 1.798 -0.319
O 8.531 2.745 -1.266
O 3.724 3.383 -1.266
O 5.468 1.798 0.319
O -0.319 0.660 1.798
O 3.383 -1.266 3.724
O 5.808 5.468 -1.798
O 3.383 1.266 2.404
O 3.724 -3.383 7.393
O 5.468 -1.798 5.808
O 2.404 3.383 1.266
O 6.787 4.330 0.319
O 3.383 7.393 -2.404
O 5.808 0.660 4.330
O 1.798 5.808 -0.660
O 7.393 2.404 2.745
O 1.266 2.404 3.383
O 1.798 0.319 5.468
O 4.330 5.808 0.660
O 4.862 3.724 2.745
O -1.266 3.724 3.383
O 4.330 0.319 6.787
O 0.319 5.468 1.798
O 2.745 -1.266 8.531
O -0.660 1.798 5.808
O 3.724 2.745 4.862
O 0.660 7.925 0.319
O 2.404 9.510 -1.266
O 2.745 4.862 3.724
O 0.319 0.660 7.925
O 2.745 7.393 2.404
O 6.447 5.468 4.330
O 0.660 4.330 5.808
O 2.404 2.745 7.393
O -2.404 3.383 7.393
O 5.468 4.330 6.447
O -3.383 7.393 3.724
O 0.319 6.787 4.330
O -1.266 8.531 2.745
O -1.798 5.808 5.468
O -1.266 2.404 9.510
O 4.330 6.447 5.468

[2]
10
Lattice="2.586 1.493 4.624 -2.586 1.493 4.624 0.000 -2.986 4.624" Properties=species:S:1:pos:R:3 comment="Li2ZrTeO6 (PBEsol, optimized geometry)" dos_ef_per_ev_cell=0.00 e_tot_ev_per_cell=-69.6 sg="No. 146" pbc="T T T"
Li 0.000 0.000 0.000
Li 0.000 0.000 6.800
Zr 0.000 0.000 2.970
Te 0.000 0.000 9.850
O -1.923 -0.015 6.257
O -0.688 -1.373 8.656
O 0.975 -1.658 6.257
O -0.845 1.283 8.656
O 0.948 1.673 6.257
O 1.533 0.091 8.656